[1]
CdRu2W: relaxed, PBE.

Cell and atoms, written as extended XYZ:
```
4
Lattice="-1.912 1.912 4.286 1.912 -1.912 4.286 1.912 1.912 -4.286" Properties=species:S:1:pos:R:3 pbc="T T T"
Cd 0.000 0.000 0.000
Ru 1.912 0.000 2.143
Ru 0.000 0.000 4.286
W 0.000 1.912 2.143
```

Total energy, eV per atom: -7.703
Magnetization, μB/f.u.: 0.0
Space-group type: I-4m2, No. 119
Energy of formation from the pure elements, meV per atom: 402

=====

[2]
AcTlAgAs: relaxed, PBE.

Cell and atoms, written as extended XYZ:
```
4
Lattice="0.000 3.806 3.806 3.806 0.000 3.806 3.806 3.806 0.000" Properties=species:S:1:pos:R:3 pbc="T T T"
Ac 0.000 0.000 0.000
Tl 3.806 3.806 3.806
Ag 5.709 5.709 5.709
As 1.903 1.903 1.903
```

Total energy, eV per atom: -3.890
Magnetization, μB/f.u.: 0.0
Space-group type: F-43m, No. 216
Energy of formation from the pure elements, meV per atom: -397

=====

[3]
AlZnPt: relaxed, PBE.

Cell and atoms, written as extended XYZ:
```
3
Lattice="-1.444 1.444 5.460 1.444 -1.444 5.460 1.444 1.444 -5.460" Properties=species:S:1:pos:R:3 pbc="T T T"
Al 0.000 0.000 0.000
Zn 0.000 0.000 7.424
Pt 0.000 0.000 3.848
```

Total energy, eV per atom: -4.189
Magnetization, μB/f.u.: 0.0
Space-group type: I4mm, No. 107
Energy of formation from the pure elements, meV per atom: -503

=====

[4]
FeHgPt2I: relaxed, PBE.

Cell and atoms, written as extended XYZ:
```
5
Lattice="4.650 0.000 0.000 0.000 4.650 0.000 0.000 0.000 5.119" Properties=species:S:1:pos:R:3 pbc="T T T"
Fe 0.000 0.000 0.000
Hg 0.000 0.000 2.560
Pt 0.000 2.325 0.000
Pt 2.325 0.000 0.000
I 2.325 2.325 2.560
```

Total energy, eV per atom: -3.558
Formation energy (no corrections), eV per formula unit: 4.60
Magnetization, μB/f.u.: 0.0
Space-group type: P4/mmm, No. 123

=====

[5]
AlRu2Cl: relaxed, PBE.

Cell and atoms, written as extended XYZ:
```
4
Lattice="1.439 0.831 8.095 -1.439 0.831 8.095 0.000 -1.661 8.095" Properties=species:S:1:pos:R:3 pbc="T T T"
Al 0.000 0.000 0.000
Ru 0.000 0.000 6.074
Ru 0.000 0.000 18.210
Cl 0.000 0.000 12.142
```

Total energy, eV per atom: -5.925
Polymorph energy (0 for the lowest one), meV/atom: 215
Formation energy (no corrections), eV per formula unit: 0.44
Magnetization, μB/f.u.: 0.0
Space-group type: R-3m, No. 166

=====

[6]
PuCdCuAu: relaxed, PBE.

Cell and atoms, written as extended XYZ:
```
4
Lattice="0.000 3.479 3.479 3.479 0.000 3.479 3.479 3.479 0.000" Properties=species:S:1:pos:R:3 pbc="T T T"
Pu 0.000 0.000 0.000
Cd 3.479 3.479 3.479
Cu 1.740 1.740 1.740
Au 5.219 5.219 5.219
```

Total energy, eV per atom: -5.781
Magnetization, μB/f.u.: 5.8
Space-group type: F-43m, No. 216
Energy of formation from the pure elements, meV per atom: -126

=====

[7]
Ba2CuAs: relaxed, PBE.

Cell and atoms, written as extended XYZ:
```
4
Lattice="2.414 1.394 7.711 -2.414 1.394 7.711 0.000 -2.787 7.711" Properties=species:S:1:pos:R:3 pbc="T T T"
Ba 0.000 0.000 5.583
Ba 0.000 0.000 17.550
Cu 0.000 0.000 0.000
As 0.000 0.000 11.567
```

Total energy, eV per atom: -3.668
Magnetization, μB/f.u.: 0.0
Space-group type: R-3m, No. 166
Energy of formation from the pure elements, meV per atom: -521

=====

[8]
NbAlRu: relaxed, PBE.

Cell and atoms, written as extended XYZ:
```
3
Lattice="4.345 0.000 0.000 -2.172 3.763 0.000 0.000 0.000 2.888" Properties=species:S:1:pos:R:3 pbc="T T T"
Nb 0.000 0.000 0.000
Al 2.172 1.254 1.317
Ru 0.000 2.508 1.976
```

Total energy, eV per atom: -8.050
Magnetization, μB/f.u.: 0.0
Space-group type: P3m1, No. 156
Energy of formation from the pure elements, meV per atom: -354

=====

[9]
La4Sm5Ho2: relaxed, PBE.

Cell and atoms, written as extended XYZ:
```
11
Lattice="8.971 -1.793 0.000 8.971 1.793 0.000 -0.869 0.000 11.828" Properties=species:S:1:pos:R:3 pbc="T T T"
La 0.483 0.000 3.106
La 6.259 0.000 2.424
La 10.815 0.000 9.404
La 16.591 0.000 8.722
Sm 1.268 0.000 6.374
Sm 3.147 0.000 0.864
Sm 8.971 0.000 0.000
Sm 13.927 0.000 10.964
Sm 15.805 0.000 5.455
Ho 4.535 0.000 7.554
Ho 12.539 0.000 4.274
```

Total energy, eV per atom: -4.689
Polymorph energy (0 for the lowest one), meV/atom: 0
Magnetization, μB/f.u.: 0.0
Space-group type: C2/m, No. 12
Energy of formation from the pure elements, meV per atom: 80

=====

[10]
ReSiAs2: relaxed, PBE.

Cell and atoms, written as extended XYZ:
```
4
Lattice="0.000 3.150 3.150 3.150 0.000 3.150 3.150 3.150 0.000" Properties=species:S:1:pos:R:3 pbc="T T T"
Re 0.000 0.000 0.000
Si 4.725 4.725 4.725
As 1.575 1.575 1.575
As 3.150 3.150 3.150
```

Total energy, eV per atom: -6.233
Formation energy (no corrections), eV per formula unit: 2.24
Magnetization, μB/f.u.: 0.0
Space-group type: F-43m, No. 216

=====

[11]
Ac2Ga6IrRu: relaxed, PBE.

Cell and atoms, written as extended XYZ:
```
10
Lattice="0.000 4.840 4.844 4.838 0.000 4.844 4.838 4.840 0.000" Properties=species:S:1:pos:R:3 pbc="T T T"
Ac 2.419 2.420 2.422
Ac 7.257 7.260 7.267
Ga 4.838 4.840 2.409
Ga 4.838 2.407 4.844
Ga 7.270 4.840 4.844
Ga 2.406 4.840 4.844
Ga 4.838 7.272 4.844
Ga 4.838 4.840 7.280
Ir 4.838 4.840 4.844
Ru 0.000 0.000 0.000
```

Total energy, eV per atom: -4.896
Magnetization, μB/f.u.: 0.0
Space-group type: Fmmm, No. 69
Energy of formation from the pure elements, meV per atom: -445

=====

[12]
LaMnHg2: relaxed, PBE.

Cell and atoms, written as extended XYZ:
```
4
Lattice="1.800 1.039 9.309 -1.800 1.039 9.309 0.000 -2.078 9.309" Properties=species:S:1:pos:R:3 pbc="T T T"
La 0.000 0.000 0.000
Mn 0.000 0.000 6.887
Hg 0.000 0.000 14.277
Hg 0.000 0.000 21.272
```

Total energy, eV per atom: -3.472
Magnetization, μB/f.u.: 3.7
Space-group type: R3m, No. 160
Energy of formation from the pure elements, meV per atom: 204

=====

[13]
Ca2CrRu2: relaxed, PBE.

Cell and atoms, written as extended XYZ:
```
10
Lattice="6.368 0.000 0.000 0.000 6.368 0.000 0.000 0.000 4.888" Properties=species:S:1:pos:R:3 pbc="T T T"
Ca 1.128 2.056 0.000
Ca 2.056 5.239 0.000
Ca 4.312 1.128 0.000
Ca 5.239 4.312 0.000
Cr 0.000 0.000 2.444
Cr 3.184 3.184 2.444
Ru 0.878 4.062 2.444
Ru 2.306 0.878 2.444
Ru 4.062 5.489 2.444
Ru 5.489 2.306 2.444
```

Total energy, eV per atom: -6.175
Magnetization, μB/f.u.: 1.4
Space-group type: P4/mbm, No. 127
Energy of formation from the pure elements, meV per atom: 261

=====

[14]
PmTmPd2: relaxed, PBE.

Cell and atoms, written as extended XYZ:
```
4
Lattice="2.072 1.196 6.574 -2.072 1.196 6.574 0.000 -2.393 6.574" Properties=species:S:1:pos:R:3 pbc="T T T"
Pm 0.000 0.000 0.000
Tm 0.000 0.000 9.862
Pd 0.000 0.000 4.815
Pd 0.000 0.000 14.908
```

Total energy, eV per atom: -5.628
Polymorph energy (0 for the lowest one), meV/atom: 157
Magnetization, μB/f.u.: 0.0
Space-group type: R-3m, No. 166
Energy of formation from the pure elements, meV per atom: -726

=====

[15]
TePdIN2: relaxed, PBE.

Cell and atoms, written as extended XYZ:
```
5
Lattice="4.237 0.000 0.000 0.000 4.237 0.000 0.000 0.000 5.869" Properties=species:S:1:pos:R:3 pbc="T T T"
Te 0.000 0.000 0.000
Pd 0.000 0.000 2.934
I 2.119 2.119 0.000
N 0.000 2.119 2.934
N 2.119 0.000 2.934
```

Total energy, eV per atom: -3.871
Polymorph energy (0 for the lowest one), meV/atom: 103
Formation energy (no corrections), eV per formula unit: 7.18
Magnetization, μB/f.u.: 3.8
Space-group type: P4/mmm, No. 123

=====

[16]
ZnHg2PN: relaxed, PBE.

Cell and atoms, written as extended XYZ:
```
5
Lattice="5.461 0.000 0.000 0.000 5.461 0.000 0.000 0.000 4.505" Properties=species:S:1:pos:R:3 pbc="T T T"
Zn 0.000 0.000 0.000
Hg 0.000 2.731 0.000
Hg 2.731 0.000 0.000
P 0.000 0.000 2.252
N 2.731 2.731 2.252
```

Total energy, eV per atom: -1.788
Formation energy (no corrections), eV per formula unit: 6.67
Magnetization, μB/f.u.: 2.7
Space-group type: P4/mmm, No. 123

=====

[17]
BaZnCo2: relaxed, PBE.

Cell and atoms, written as extended XYZ:
```
8
Lattice="-2.339 2.339 8.546 2.339 -2.339 8.546 2.339 2.339 -8.546" Properties=species:S:1:pos:R:3 pbc="T T T"
Ba 2.339 1.170 2.137
Ba 0.000 1.170 6.410
Zn 2.339 -1.170 6.410
Zn 0.000 3.509 2.137
Co 0.000 0.000 0.000
Co 1.170 1.170 -4.273
Co 1.170 -1.170 4.273
Co 0.000 2.339 0.000
```

Total energy, eV per atom: -3.981
Magnetization, μB/f.u.: 2.1
Space-group type: I4_1/amd, No. 141
Energy of formation from the pure elements, meV per atom: 372

=====

[18]
MgGaH2: relaxed, PBE.

Cell and atoms, written as extended XYZ:
```
8
Lattice="5.162 0.000 0.000 0.000 3.048 0.000 -0.163 0.000 6.590" Properties=species:S:1:pos:R:3 pbc="T T T"
Mg 0.000 0.000 0.000
Mg 2.412 1.524 4.779
Ga 1.023 1.524 2.061
Ga 3.368 0.000 2.155
H 0.710 1.524 3.698
H 1.551 0.000 5.662
H 3.400 0.000 3.948
H 4.051 1.524 5.882
```

Total energy, eV per atom: -2.855
Polymorph energy (0 for the lowest one), meV/atom: 19
Magnetization, μB/f.u.: 0.0
Space-group type: Pm, No. 6

=====

[19]
Np6TeSe5: relaxed, PBE.

Cell and atoms, written as extended XYZ:
```
12
Lattice="3.591 -6.240 0.000 3.591 6.240 0.000 -2.417 0.000 6.775" Properties=species:S:1:pos:R:3 pbc="T T T"
Np -0.068 2.166 5.008
Np 1.086 0.000 1.718
Np -0.068 -2.166 5.008
Np 4.833 2.166 1.767
Np 3.679 0.000 5.056
Np 4.833 -2.166 1.767
Te 3.591 0.000 0.000
Se -1.208 0.000 3.387
Se 3.591 4.140 0.000
Se 2.383 1.981 3.387
Se 2.383 -1.981 3.387
Se 3.591 -4.140 0.000
```

Total energy, eV per atom: -9.145
Formation energy (no corrections), eV per formula unit: -11.53
Magnetization, μB/f.u.: 26.8
Space-group type: C2/m, No. 12

=====

[20]
Cu2SiNi: relaxed, PBE.

Cell and atoms, written as extended XYZ:
```
4
Lattice="2.560 0.000 0.000 0.000 2.560 0.000 0.000 0.000 7.336" Properties=species:S:1:pos:R:3 pbc="T T T"
Cu 0.000 0.000 1.790
Cu 0.000 0.000 5.546
Si 1.280 1.280 3.668
Ni 1.280 1.280 0.000
```

Total energy, eV per atom: -4.766
Formation energy (no corrections), eV per formula unit: 0.33
Magnetization, μB/f.u.: 0.0
Space-group type: P4/mmm, No. 123